No. 1
# HoErGe2Pt4 (PBE, optimized geometry)
data_HoErGe2Pt4
_chemical_formula_sum 'Ho1 Er1 Ge2 Pt4'
_symmetry_space_group_name_H-M 'P -6 m 2'
_symmetry_Int_Tables_number 187
_symmetry_space_group_name_Hall 'P -6 2'
_cell_length_a 4.3663
_cell_length_b 4.3663
_cell_length_c 9.0778
_cell_angle_alpha 90.00
_cell_angle_beta 90.00
_cell_angle_gamma 120.00
loop_
_atom_site_label
_atom_site_fract_x
_atom_site_fract_y
_atom_site_fract_z
Ho1 0.0000 0.0000 0.0000
Er1 0.6667 0.3333 0.5000
Ge1 0.3333 0.6667 0.2503
Pt1 0.0000 0.0000 0.3364
Pt2 0.6667 0.3333 0.1648
# E = -0.2320 Ha/atom
# Volume = 149.9 Å³/f.u.

***

No. 2
# HoEr2Ge4Pt4 (PBE, optimized geometry)
data_HoEr2Ge4Pt4
_chemical_formula_sum 'Ho2 Er4 Ge8 Pt8'
_symmetry_space_group_name_H-M 'I m m m'
_symmetry_Int_Tables_number 71
_symmetry_space_group_name_Hall '-I 2 2'
_cell_length_a 4.165
_cell_length_b 7.111
_cell_length_c 13.866
_cell_angle_alpha 90.00
_cell_angle_beta 90.00
_cell_angle_gamma 90.00
loop_
_atom_site_label
_atom_site_fract_x
_atom_site_fract_y
_atom_site_fract_z
Ho1 0.000 0.000 0.000
Er1 0.000 0.500 0.125
Ge1 0.000 0.000 0.219
Ge2 0.000 0.187 0.500
Pt1 0.000 0.297 0.327
# E = -0.2246 Ha/atom
# Volume = 205.3 Å³/f.u.

***

No. 3
# HoErGe2Pt (PBE, optimized geometry)
data_HoErGe2Pt
_chemical_formula_sum 'Ho4 Er4 Ge8 Pt4'
_symmetry_space_group_name_H-M 'C 1 2/m 1'
_symmetry_Int_Tables_number 12
_cell_length_a 10.412
_cell_length_b 4.329
_cell_length_c 10.323
_cell_angle_alpha 90.00
_cell_angle_beta 117.21
_cell_angle_gamma 90.00
loop_
_symmetry_equiv_pos_as_xyz
'x,y,z'
'-x,-y,-z'
'-x,y,-z'
'x,-y,z'
'x+1/2,y+1/2,z'
'-x+1/2,-y+1/2,-z'
'-x+1/2,y+1/2,-z'
'x+1/2,-y+1/2,z'
loop_
_atom_site_label
_atom_site_fract_x
_atom_site_fract_y
_atom_site_fract_z
Ho1 0.188 0.000 0.114
Er1 0.010 0.000 0.328
Ge1 0.027 0.500 0.887
Ge2 0.143 0.500 0.553
Pt1 0.227 0.500 0.335
# E = -0.2167 Ha/atom
# Volume = 103.4 Å³/f.u.

***

No. 4
# HoErTa2Ge2 (PBE, optimized geometry)
data_HoErTa2Ge2
_chemical_formula_sum 'Ho1 Er1 Ta2 Ge2'
_symmetry_space_group_name_H-M 'P 4 m m'
_symmetry_Int_Tables_number 99
_cell_length_a 4.016
_cell_length_b 4.016
_cell_length_c 7.788
_cell_angle_alpha 90.00
_cell_angle_beta 90.00
_cell_angle_gamma 90.00
loop_
_symmetry_equiv_pos_as_xyz
'x,y,z'
'-y,x,z'
'-x,-y,z'
'y,-x,z'
'-x,y,z'
'y,x,z'
'x,-y,z'
'-y,-x,z'
loop_
_atom_site_label
_atom_site_fract_x
_atom_site_fract_y
_atom_site_fract_z
Ho1 0.000 0.000 0.000
Er1 0.500 0.500 0.703
Ta1 0.000 0.500 0.352
Ge1 0.000 0.000 0.600
Ge2 0.500 0.500 0.104
# E = -0.2796 Ha/atom
# Volume = 125.6 Å³/f.u.

***

No. 5
# HoErZr2Ge2 (PBE, optimized geometry)
data_HoErZr2Ge2
_chemical_formula_sum 'Ho1 Er1 Zr2 Ge2'
_symmetry_space_group_name_H-M 'P 4 m m'
_symmetry_Int_Tables_number 99
_cell_length_a 4.184
_cell_length_b 4.184
_cell_length_c 7.869
_cell_angle_alpha 90.00
_cell_angle_beta 90.00
_cell_angle_gamma 90.00
loop_
_symmetry_equiv_pos_as_xyz
'x,y,z'
'-y,x,z'
'-x,-y,z'
'y,-x,z'
'-x,y,z'
'y,x,z'
'x,-y,z'
'-y,-x,z'
loop_
_atom_site_label
_atom_site_fract_x
_atom_site_fract_y
_atom_site_fract_z
Ho1 0.000 0.000 0.000
Er1 0.500 0.500 0.304
Zr1 0.000 0.500 0.651
Ge1 0.000 0.000 0.386
Ge2 0.500 0.500 0.917
# E = -0.2433 Ha/atom
# Volume = 137.7 Å³/f.u.

***

No. 6
# Er4GeI5 (PBE, optimized geometry)
data_Er4GeI5
_chemical_formula_sum 'Er8 Ge2 I10'
_symmetry_space_group_name_H-M 'C 1 2/m 1'
_symmetry_Int_Tables_number 12
_cell_length_a 19.008
_cell_length_b 4.174
_cell_length_c 8.714
_cell_angle_alpha 90.00
_cell_angle_beta 102.81
_cell_angle_gamma 90.00
loop_
_symmetry_equiv_pos_as_xyz
'x,y,z'
'-x,-y,-z'
'-x,y,-z'
'x,-y,z'
'x+1/2,y+1/2,z'
'-x+1/2,-y+1/2,-z'
'-x+1/2,y+1/2,-z'
'x+1/2,-y+1/2,z'
loop_
_atom_site_label
_atom_site_fract_x
_atom_site_fract_y
_atom_site_fract_z
Er1 0.000 0.000 0.210
Er2 0.146 0.500 0.074
Ge1 0.000 0.500 0.000
I1 0.000 0.500 0.500
I2 0.167 0.000 0.336
I3 0.171 0.000 0.830
# E = -0.1540 Ha/atom
# Volume = 337.1 Å³/f.u.

***

No. 7
# NdErGeI2 (PBE, optimized geometry)
data_NdErGeI2
_chemical_formula_sum 'Nd1 Er1 Ge1 I2'
_symmetry_space_group_name_H-M 'P 1'
_symmetry_Int_Tables_number 1
_cell_length_a 4.292
_cell_length_b 4.292
_cell_length_c 11.889
_cell_angle_alpha 80.29
_cell_angle_beta 88.45
_cell_angle_gamma 60.00
loop_
_symmetry_equiv_pos_as_xyz
'x,y,z'
loop_
_atom_site_label
_atom_site_fract_x
_atom_site_fract_y
_atom_site_fract_z
Nd1 0.000 0.000 0.000
Er1 0.724 0.511 0.271
Ge1 0.363 0.252 0.142
I1 0.092 0.749 0.438
I2 0.629 0.769 0.821
# E = -0.1696 Ha/atom
# Volume = 186.5 Å³/f.u.

***

No. 8
# TbErGeI2 (PBE, optimized geometry)
data_TbErGeI2
_chemical_formula_sum 'Tb1 Er1 Ge1 I2'
_symmetry_space_group_name_H-M 'P 3 m 1'
_symmetry_Int_Tables_number 156
_cell_length_a 4.2265
_cell_length_b 4.2265
_cell_length_c 10.7715
_cell_angle_alpha 90.00
_cell_angle_beta 90.00
_cell_angle_gamma 120.00
loop_
_symmetry_equiv_pos_as_xyz
'x,y,z'
'-y,x-y,z'
'-x+y,-x,z'
'-y,-x,z'
'-x+y,y,z'
'x,x-y,z'
loop_
_atom_site_label
_atom_site_fract_x
_atom_site_fract_y
_atom_site_fract_z
Tb1 0.0000 0.0000 0.0000
Er1 0.3333 0.6667 0.7112
Ge1 0.6667 0.3333 0.8535
I1 0.0000 0.0000 0.5270
I2 0.3333 0.6667 0.1880
# E = -0.1686 Ha/atom
# Volume = 166.6 Å³/f.u.

***

What did the sixth record say?
# Er4GeI5 (PBE, optimized geometry)
data_Er4GeI5
_chemical_formula_sum 'Er8 Ge2 I10'
_symmetry_space_group_name_H-M 'C 1 2/m 1'
_symmetry_Int_Tables_number 12
_cell_length_a 19.008
_cell_length_b 4.174
_cell_length_c 8.714
_cell_angle_alpha 90.00
_cell_angle_beta 102.81
_cell_angle_gamma 90.00
loop_
_symmetry_equiv_pos_as_xyz
'x,y,z'
'-x,-y,-z'
'-x,y,-z'
'x,-y,z'
'x+1/2,y+1/2,z'
'-x+1/2,-y+1/2,-z'
'-x+1/2,y+1/2,-z'
'x+1/2,-y+1/2,z'
loop_
_atom_site_label
_atom_site_fract_x
_atom_site_fract_y
_atom_site_fract_z
Er1 0.000 0.000 0.210
Er2 0.146 0.500 0.074
Ge1 0.000 0.500 0.000
I1 0.000 0.500 0.500
I2 0.167 0.000 0.336
I3 0.171 0.000 0.830
# E = -0.1540 Ha/atom
# Volume = 337.1 Å³/f.u.

***

Question: Number 2 is which compound?
Answer: HoEr2Ge4Pt4

***

Question: volume of number 5 (HoErZr2Ge2)?
Answer: 137.7 Å³/f.u.

***

What did the sixth record say?
# Er4GeI5 (PBE, optimized geometry)
data_Er4GeI5
_chemical_formula_sum 'Er8 Ge2 I10'
_symmetry_space_group_name_H-M 'C 1 2/m 1'
_symmetry_Int_Tables_number 12
_cell_length_a 19.008
_cell_length_b 4.174
_cell_length_c 8.714
_cell_angle_alpha 90.00
_cell_angle_beta 102.81
_cell_angle_gamma 90.00
loop_
_symmetry_equiv_pos_as_xyz
'x,y,z'
'-x,-y,-z'
'-x,y,-z'
'x,-y,z'
'x+1/2,y+1/2,z'
'-x+1/2,-y+1/2,-z'
'-x+1/2,y+1/2,-z'
'x+1/2,-y+1/2,z'
loop_
_atom_site_label
_atom_site_fract_x
_atom_site_fract_y
_atom_site_fract_z
Er1 0.000 0.000 0.210
Er2 0.146 0.500 0.074
Ge1 0.000 0.500 0.000
I1 0.000 0.500 0.500
I2 0.167 0.000 0.336
I3 0.171 0.000 0.830
# E = -0.1540 Ha/atom
# Volume = 337.1 Å³/f.u.